[1]
First-principles (GGA-PBE) data for Y3Ho2Tm5 after structural relaxation, as listed in Alexandria via LeMat-Bulk.

Geometry as CIF:
```
data_Y3Ho2Tm5
_chemical_formula_sum 'Y6 Ho4 Tm10'
_symmetry_space_group_name_H-M 'P 1'
_symmetry_Int_Tables_number 1
_cell_length_a 6.2181
_cell_length_b 10.9770
_cell_length_c 10.9770
_cell_angle_alpha 99.90
_cell_angle_beta 73.55
_cell_angle_gamma 73.55
loop_
_symmetry_equiv_pos_as_xyz
'x,y,z'
loop_
_atom_site_label
_atom_site_type_symbol
_atom_site_fract_x
_atom_site_fract_y
_atom_site_fract_z
Y1 Y 0.6565 0.5964 0.0906
Tm1 Tm 0.0991 0.5568 0.2451
Y2 Y 0.3435 0.4036 0.9094
Y3 Y 0.7500 0.0000 0.0000
Tm2 Tm 0.7500 0.5000 0.5000
Ho1 Ho 0.1040 0.7393 0.0526
Tm3 Tm 0.2500 0.5000 0.5000
Ho2 Ho 0.6040 0.0526 0.7393
Ho3 Ho 0.3960 0.9474 0.2607
Y4 Y 0.1565 0.0906 0.5964
Tm4 Tm 0.5021 0.7479 0.7479
Tm5 Tm 0.9979 0.2521 0.2521
Y5 Y 0.2500 0.0000 0.0000
Tm6 Tm 0.0021 0.7479 0.7479
Y6 Y 0.8435 0.9094 0.4036
Tm7 Tm 0.5991 0.2451 0.5568
Ho4 Ho 0.8960 0.2607 0.9474
Tm8 Tm 0.4009 0.7549 0.4432
Tm9 Tm 0.9009 0.4432 0.7549
Tm10 Tm 0.4979 0.2521 0.2521
```

Formation energy   0.353 eV per atom
Theoretical density   7.2 g/cm³
Space group   Ibam

***

[2]
First-principles (GGA-PBE) data for Y6HoTm8 after structural relaxation, as listed in Alexandria via LeMat-Bulk.

Geometry as CIF:
```
data_Y6HoTm8
_chemical_formula_sum 'Y6 Ho1 Tm8'
_symmetry_space_group_name_H-M 'P 1'
_symmetry_Int_Tables_number 1
_cell_length_a 6.4133
_cell_length_b 9.3739
_cell_length_c 9.3739
_cell_angle_alpha 120.00
_cell_angle_beta 90.00
_cell_angle_gamma 90.00
loop_
_symmetry_equiv_pos_as_xyz
'x,y,z'
loop_
_atom_site_label
_atom_site_type_symbol
_atom_site_fract_x
_atom_site_fract_y
_atom_site_fract_z
Tm1 Tm 0.1471 0.6667 0.3333
Y1 Y 0.5889 0.6839 0.1034
Tm2 Tm 0.9066 0.6869 0.6664
Y2 Y 0.4111 0.1034 0.4195
Tm3 Tm 0.8529 0.3333 0.6667
Tm4 Tm 0.0934 0.6664 0.9795
Tm5 Tm 0.9066 0.3336 0.0205
Y3 Y 0.4111 0.5805 0.6839
Tm6 Tm 0.0934 0.3131 0.3336
Y4 Y 0.5889 0.8966 0.5805
Tm7 Tm 0.9066 0.9795 0.3131
Ho1 Ho 0.5000 0.0000 0.0000
Y5 Y 0.5889 0.4195 0.3161
Tm8 Tm 0.0934 0.0205 0.6869
Y6 Y 0.4111 0.3161 0.8966
```

Formation energy   0.244 eV per atom
Theoretical density   7.0 g/cm³
Space group   P-3

***

[3]
First-principles (GGA-PBE) data for Y6HoTm after structural relaxation, as listed in Alexandria via LeMat-Bulk.

Geometry as CIF:
```
data_Y6HoTm
_chemical_formula_sum 'Y6 Ho1 Tm1'
_symmetry_space_group_name_H-M 'P 1'
_symmetry_Int_Tables_number 1
_cell_length_a 6.1581
_cell_length_b 5.0195
_cell_length_c 11.7842
_cell_angle_alpha 50.33
_cell_angle_beta 69.64
_cell_angle_gamma 66.01
loop_
_symmetry_equiv_pos_as_xyz
'x,y,z'
loop_
_atom_site_label
_atom_site_type_symbol
_atom_site_fract_x
_atom_site_fract_y
_atom_site_fract_z
Y1 Y 0.8750 0.6244 0.6253
Ho1 Ho 0.5000 0.5000 0.5000
Y2 Y 0.7502 0.2504 0.2497
Y3 Y 0.2498 0.7496 0.7503
Y4 Y 0.3749 0.1256 0.1246
Tm1 Tm 0.0000 0.0000 0.0000
Y5 Y 0.1250 0.3756 0.3747
Y6 Y 0.6251 0.8744 0.8754
```

Formation energy   0.025 eV per atom
Theoretical density   5.7 g/cm³
Space group   P-1

***

[4]
First-principles (GGA-PBE) data for Y3Ho4Tm after structural relaxation, as listed in Alexandria via LeMat-Bulk.

Geometry as CIF:
```
data_Y3Ho4Tm
_chemical_formula_sum 'Y3 Ho4 Tm1'
_symmetry_space_group_name_H-M 'P 1'
_symmetry_Int_Tables_number 1
_cell_length_a 3.4701
_cell_length_b 6.6117
_cell_length_c 11.8079
_cell_angle_alpha 106.22
_cell_angle_beta 98.45
_cell_angle_gamma 90.00
loop_
_symmetry_equiv_pos_as_xyz
'x,y,z'
loop_
_atom_site_label
_atom_site_type_symbol
_atom_site_fract_x
_atom_site_fract_y
_atom_site_fract_z
Ho1 Ho 0.1242 0.3669 0.2484
Ho2 Ho 0.8758 0.6331 0.7516
Ho3 Ho 0.2608 0.7578 0.5215
Y1 Y 0.0000 0.5000 0.0000
Y2 Y 0.8751 0.1191 0.7502
Tm1 Tm 0.5000 0.0000 0.0000
Ho4 Ho 0.7392 0.2422 0.4785
Y3 Y 0.1249 0.8809 0.2498
```

Formation energy   0.168 eV per atom
Theoretical density   7.1 g/cm³
Space group   C2/m

***

[5]
First-principles (GGA-PBE) data for YHo6Tm12 after structural relaxation, as listed in Alexandria via LeMat-Bulk.

Geometry as CIF:
```
data_YHo6Tm12
_chemical_formula_sum 'Y1 Ho6 Tm12'
_symmetry_space_group_name_H-M 'P 1'
_symmetry_Int_Tables_number 1
_cell_length_a 8.4249
_cell_length_b 8.4249
_cell_length_c 8.4249
_cell_angle_alpha 88.14
_cell_angle_beta 88.14
_cell_angle_gamma 88.14
loop_
_symmetry_equiv_pos_as_xyz
'x,y,z'
loop_
_atom_site_label
_atom_site_type_symbol
_atom_site_fract_x
_atom_site_fract_y
_atom_site_fract_z
Ho1 Ho 0.0898 0.6852 0.2549
Tm1 Tm 0.7719 0.5453 0.4365
Ho2 Ho 0.9102 0.3148 0.7451
Y1 Y 0.0000 0.0000 0.0000
Tm2 Tm 0.2281 0.4547 0.5635
Tm3 Tm 0.7862 0.6458 0.9920
Ho3 Ho 0.6852 0.2549 0.0898
Tm4 Tm 0.4365 0.7719 0.5453
Ho4 Ho 0.7451 0.9102 0.3148
Tm5 Tm 0.3542 0.0080 0.2138
Ho5 Ho 0.3148 0.7451 0.9102
Ho6 Ho 0.2549 0.0898 0.6852
Tm6 Tm 0.2138 0.3542 0.0080
Tm7 Tm 0.0080 0.2138 0.3542
Tm8 Tm 0.9920 0.7862 0.6458
Tm9 Tm 0.6458 0.9920 0.7862
Tm10 Tm 0.5635 0.2281 0.4547
Tm11 Tm 0.5453 0.4365 0.7719
Tm12 Tm 0.4547 0.5635 0.2281
```

Formation energy   0.167 eV per atom
Theoretical density   8.6 g/cm³
Space group   R-3

***

[6]
First-principles (GGA-PBE) data for Y7Ho4Tm2 after structural relaxation, as listed in Alexandria via LeMat-Bulk.

Geometry as CIF:
```
data_Y7Ho4Tm2
_chemical_formula_sum 'Y7 Ho4 Tm2'
_symmetry_space_group_name_H-M 'P 1'
_symmetry_Int_Tables_number 1
_cell_length_a 9.3842
_cell_length_b 7.9219
_cell_length_c 6.1326
_cell_angle_alpha 97.43
_cell_angle_beta 96.21
_cell_angle_gamma 65.07
loop_
_symmetry_equiv_pos_as_xyz
'x,y,z'
loop_
_atom_site_label
_atom_site_type_symbol
_atom_site_fract_x
_atom_site_fract_y
_atom_site_fract_z
Y1 Y 0.0000 0.0000 0.0000
Ho1 Ho 0.2311 0.6170 0.3074
Y2 Y 0.5377 0.7676 0.3862
Y3 Y 0.9230 0.4618 0.2321
Y4 Y 0.4623 0.2324 0.6138
Y5 Y 0.3079 0.1535 0.0771
Ho2 Ho 0.8460 0.9248 0.4601
Ho3 Ho 0.1540 0.0752 0.5399
Y6 Y 0.6921 0.8465 0.9229
Tm1 Tm 0.6148 0.3091 0.1533
Y7 Y 0.0770 0.5382 0.7679
Ho4 Ho 0.7689 0.3830 0.6926
Tm2 Tm 0.3852 0.6909 0.8467
```

Formation energy   0.026 eV per atom
Theoretical density   6.6 g/cm³
Space group   P-1

***

[7]
First-principles (GGA-PBE) data for Y4Ho5Tm2 after structural relaxation, as listed in Alexandria via LeMat-Bulk.

Geometry as CIF:
```
data_Y4Ho5Tm2
_chemical_formula_sum 'Y4 Ho5 Tm2'
_symmetry_space_group_name_H-M 'P 1'
_symmetry_Int_Tables_number 1
_cell_length_a 6.5851
_cell_length_b 6.5851
_cell_length_c 9.2048
_cell_angle_alpha 75.63
_cell_angle_beta 75.63
_cell_angle_gamma 66.92
loop_
_symmetry_equiv_pos_as_xyz
'x,y,z'
loop_
_atom_site_label
_atom_site_type_symbol
_atom_site_fract_x
_atom_site_fract_y
_atom_site_fract_z
Y1 Y 0.6706 0.6706 0.8778
Ho1 Ho 0.7904 0.3449 0.2197
Ho2 Ho 0.0000 0.0000 0.5000
Ho3 Ho 0.3449 0.7904 0.2197
Tm1 Tm 0.1460 0.1460 0.8806
Y2 Y 0.6819 0.6819 0.4983
Ho4 Ho 0.2096 0.6551 0.7803
Tm2 Tm 0.8540 0.8540 0.1194
Y3 Y 0.3181 0.3181 0.5017
Ho5 Ho 0.6551 0.2096 0.7803
Y4 Y 0.3294 0.3294 0.1222
```

Formation energy   0.126 eV per atom
Theoretical density   7.2 g/cm³
Space group   C2/m

***

[8]
First-principles (GGA-PBE) data for Y3Ho3Tm2 after structural relaxation, as listed in Alexandria via LeMat-Bulk.

Geometry as CIF:
```
data_Y3Ho3Tm2
_chemical_formula_sum 'Y3 Ho3 Tm2'
_symmetry_space_group_name_H-M 'P 1'
_symmetry_Int_Tables_number 1
_cell_length_a 4.9949
_cell_length_b 4.9958
_cell_length_c 10.6060
_cell_angle_alpha 103.61
_cell_angle_beta 103.62
_cell_angle_gamma 90.00
loop_
_symmetry_equiv_pos_as_xyz
'x,y,z'
loop_
_atom_site_label
_atom_site_type_symbol
_atom_site_fract_x
_atom_site_fract_y
_atom_site_fract_z
Y1 Y 0.3740 0.3741 0.7479
Ho1 Ho 0.1263 0.1262 0.2525
Y2 Y 0.6260 0.6259 0.2521
Tm1 Tm 0.7499 0.2499 0.4999
Ho2 Ho 0.0000 0.5000 0.0000
Ho3 Ho 0.8737 0.8738 0.7475
Y3 Y 0.5000 0.0000 0.0000
Tm2 Tm 0.2501 0.7501 0.5001
```

Formation energy   0.027 eV per atom
Theoretical density   7.3 g/cm³
Space group   Immm

***

[9]
First-principles (GGA-PBE) data for Y12HoTm6 after structural relaxation, as listed in Alexandria via LeMat-Bulk.

Geometry as CIF:
```
data_Y12HoTm6
_chemical_formula_sum 'Y12 Ho1 Tm6'
_symmetry_space_group_name_H-M 'P 1'
_symmetry_Int_Tables_number 1
_cell_length_a 8.6413
_cell_length_b 8.6413
_cell_length_c 8.6413
_cell_angle_alpha 98.03
_cell_angle_beta 98.03
_cell_angle_gamma 98.03
loop_
_symmetry_equiv_pos_as_xyz
'x,y,z'
loop_
_atom_site_label
_atom_site_type_symbol
_atom_site_fract_x
_atom_site_fract_y
_atom_site_fract_z
Y1 Y 0.2635 0.0000 0.7365
Y2 Y 0.0000 0.7365 0.2635
Y3 Y 0.2635 0.7365 0.0000
Tm1 Tm 0.5917 0.8602 0.8601
Y4 Y 0.7365 0.2635 0.0000
Y5 Y 0.5932 0.5932 0.1660
Tm2 Tm 0.8602 0.8601 0.5917
Tm3 Tm 0.1398 0.1399 0.4083
Y6 Y 0.5932 0.1660 0.5932
Tm4 Tm 0.8601 0.5917 0.8602
Y7 Y 0.8340 0.4068 0.4068
Y8 Y 0.7365 0.0000 0.2635
Tm5 Tm 0.4083 0.1398 0.1399
Y9 Y 0.4068 0.4068 0.8340
Ho1 Ho 0.0000 0.0000 0.0000
Y10 Y 0.1660 0.5932 0.5932
Tm6 Tm 0.1399 0.4083 0.1398
Y11 Y 0.4068 0.8340 0.4068
Y12 Y 0.0000 0.2635 0.7365
```

Formation energy   0.147 eV per atom
Theoretical density   6.0 g/cm³
Space group   R-3m

***

For each record above, in turn, the calculated D(E_F) values are 15.23, 24.05, 12.13, 14.11, 31.08, 19.15, 19.72, 11.48, 33.71 states/eV/f.u..